VASP calculation (PBE) on crystalline Ac2Cd16Pb at its relaxed geometry.

The size of the total moment is 0.0 μB/cell. For the formation energy, the calculation gives -0.181 eV per atom.

The space group is R3m (No. 160, hexagonal axes) and the conventional cell measures 10.4272, 10.4272 and 14.9298 Å, with angles of 90.00, 90.00 and 120.00 degrees. Symmetry generates all atoms from Ac at (0.0000, 0.0000, 0.0000), Ac at (0.0000, 0.0000, 0.3290), Cd at (0.0000, 0.0000, 0.7672), Cd at (0.0129, 0.5065, 0.8152), Cd at (0.0285, 0.3613, 0.3299), Cd at (0.1733, 0.3466, 0.4973), Cd at (0.1745, 0.3491, 0.8438) and Pb at (0.0000, 0.0000, 0.5638).

VASP calculation (PBE) on crystalline SbP2Pd7 at its relaxed geometry.

The calculation puts the energy relative to the elements, uncorrected at -0.453 eV per atom. The size of the total moment is 0.0 μB/cell.

The space group is I4/mmm (No. 139) and the conventional cell measures 4.0266, 4.0266 and 19.7717 Å, with angles of 90.00, 90.00 and 90.00 degrees. Symmetry generates all atoms from Sb at (0.0000, 0.0000, 0.0000), P at (0.0000, 0.0000, 0.3254), Pd at (0.0000, 0.0000, 0.5000), Pd at (0.0000, 0.5000, 0.1074) and Pd at (0.0000, 0.5000, 0.2500).